Entry 1:
# PBE-GGA BeSnIr2, optimized geometry
# **M_tot**: 1.201 Bohr magnetons per cell
# **Volume**: 242.82 Å³/cell
# **ρ**: 14010 kg/m3
# **E**: -6.091 eV per atom
data_BeSnIr2
_chemical_formula_sum 'Be4 Sn4 Ir8'
_cell_length_a 6.239
_cell_length_b 6.239
_cell_length_c 6.239
_cell_angle_alpha 90.00
_cell_angle_beta 90.00
_cell_angle_gamma 90.00
_space_group_name_H-M_alt 'P 1'
_space_group_IT_number 1
_space_group_name_Hall 'P 1'
loop_
_atom_site_label
_atom_site_type_symbol
_atom_site_fract_x
_atom_site_fract_y
_atom_site_fract_z
_atom_site_occupancy
Be1 Be 0.000 0.000 0.000 1
Be2 Be 0.000 0.500 0.500 1
Be3 Be 0.500 0.000 0.500 1
Be4 Be 0.500 0.500 0.000 1
Sn1 Sn 0.250 0.250 0.750 1
Sn2 Sn 0.250 0.750 0.250 1
Sn3 Sn 0.750 0.250 0.250 1
Sn4 Sn 0.750 0.750 0.750 1
Ir1 Ir 0.000 0.000 0.500 1
Ir2 Ir 0.000 0.500 0.000 1
Ir3 Ir 0.250 0.250 0.250 1
Ir4 Ir 0.250 0.750 0.750 1
Ir5 Ir 0.500 0.000 0.000 1
Ir6 Ir 0.500 0.500 0.500 1
Ir7 Ir 0.750 0.250 0.750 1
Ir8 Ir 0.750 0.750 0.250 1

Entry 2:
# PBE-GGA Be2SnIr, optimized geometry
# **M_tot**: 0.004 Bohr magnetons per cell
# **Volume**: 221.91 Å³/cell
# **ρ**: 9846 kg/m3
# **E**: -4.855 eV per atom
data_Be2SnIr
_chemical_formula_sum 'Be8 Sn4 Ir4'
_cell_length_a 6.054
_cell_length_b 6.054
_cell_length_c 6.054
_cell_angle_alpha 90.00
_cell_angle_beta 90.00
_cell_angle_gamma 90.00
_space_group_name_H-M_alt 'P 1'
_space_group_IT_number 1
_space_group_name_Hall 'P 1'
loop_
_atom_site_label
_atom_site_type_symbol
_atom_site_fract_x
_atom_site_fract_y
_atom_site_fract_z
_atom_site_occupancy
Be1 Be 0.000 0.000 0.000 1
Be2 Be 0.000 0.500 0.500 1
Be3 Be 0.250 0.250 0.250 1
Be4 Be 0.250 0.750 0.750 1
Be5 Be 0.500 0.000 0.500 1
Be6 Be 0.500 0.500 0.000 1
Be7 Be 0.750 0.250 0.750 1
Be8 Be 0.750 0.750 0.250 1
Sn1 Sn 0.000 0.000 0.500 1
Sn2 Sn 0.000 0.500 0.000 1
Sn3 Sn 0.500 0.000 0.000 1
Sn4 Sn 0.500 0.500 0.500 1
Ir1 Ir 0.250 0.250 0.750 1
Ir2 Ir 0.250 0.750 0.250 1
Ir3 Ir 0.750 0.250 0.250 1
Ir4 Ir 0.750 0.750 0.750 1

Entry 3:
# PBE-GGA BeSnIr, optimized geometry
# **M_tot**: 0.008 Bohr magnetons per cell
# **Volume**: 188.29 Å³/cell
# **ρ**: 11286 kg/m3
# **Relative energy among the computed polymorphs**: 0.0 meV/atom
# **E**: -5.578 eV per atom
data_BeSnIr
_chemical_formula_sum 'Be4 Sn4 Ir4'
_cell_length_a 5.732
_cell_length_b 5.732
_cell_length_c 5.732
_cell_angle_alpha 90.00
_cell_angle_beta 90.00
_cell_angle_gamma 90.00
_space_group_name_H-M_alt 'P 1'
_space_group_IT_number 1
_space_group_name_Hall 'P 1'
loop_
_atom_site_label
_atom_site_type_symbol
_atom_site_fract_x
_atom_site_fract_y
_atom_site_fract_z
_atom_site_occupancy
Be1 Be 0.000 0.000 0.000 1
Be2 Be 0.000 0.500 0.500 1
Be3 Be 0.500 0.000 0.500 1
Be4 Be 0.500 0.500 0.000 1
Sn1 Sn 0.250 0.250 0.250 1
Sn2 Sn 0.250 0.750 0.750 1
Sn3 Sn 0.750 0.250 0.750 1
Sn4 Sn 0.750 0.750 0.250 1
Ir1 Ir 0.250 0.250 0.750 1
Ir2 Ir 0.250 0.750 0.250 1
Ir3 Ir 0.750 0.250 0.250 1
Ir4 Ir 0.750 0.750 0.750 1

Entry 4:
# PBE-GGA BeTlSnIr, optimized geometry
# **M_tot**: 0.013 Bohr magnetons per cell
# **Volume**: 291.46 Å³/cell
# **ρ**: 11949 kg/m3
# **Relative energy among the computed polymorphs**: 0.0 meV/atom
# **E**: -4.168 eV per atom
data_BeTlSnIr
_chemical_formula_sum 'Be4 Tl4 Sn4 Ir4'
_cell_length_a 6.630
_cell_length_b 6.630
_cell_length_c 6.630
_cell_angle_alpha 90.00
_cell_angle_beta 90.00
_cell_angle_gamma 90.00
_space_group_name_H-M_alt 'P 1'
_space_group_IT_number 1
_space_group_name_Hall 'P 1'
loop_
_atom_site_label
_atom_site_type_symbol
_atom_site_fract_x
_atom_site_fract_y
_atom_site_fract_z
_atom_site_occupancy
Be1 Be 0.000 0.000 0.000 1
Be2 Be 0.000 0.500 0.500 1
Be3 Be 0.500 0.000 0.500 1
Be4 Be 0.500 0.500 0.000 1
Tl1 Tl 0.250 0.250 0.250 1
Tl2 Tl 0.250 0.750 0.750 1
Tl3 Tl 0.750 0.250 0.750 1
Tl4 Tl 0.750 0.750 0.250 1
Sn1 Sn 0.250 0.250 0.750 1
Sn2 Sn 0.250 0.750 0.250 1
Sn3 Sn 0.750 0.250 0.250 1
Sn4 Sn 0.750 0.750 0.750 1
Ir1 Ir 0.000 0.000 0.500 1
Ir2 Ir 0.000 0.500 0.000 1
Ir3 Ir 0.500 0.000 0.000 1
Ir4 Ir 0.500 0.500 0.500 1

Entry 5:
# PBE-GGA SrBe2Ir, optimized geometry
# **M_tot**: 0.021 Bohr magnetons per cell
# **Volume**: 271.86 Å³/cell
# **ρ**: 7277 kg/m3
# **E**: -3.820 eV per atom
data_SrBe2Ir
_chemical_formula_sum 'Sr4 Be8 Ir4'
_cell_length_a 6.478
_cell_length_b 6.478
_cell_length_c 6.478
_cell_angle_alpha 90.00
_cell_angle_beta 90.00
_cell_angle_gamma 90.00
_space_group_name_H-M_alt 'P 1'
_space_group_IT_number 1
_space_group_name_Hall 'P 1'
loop_
_atom_site_label
_atom_site_type_symbol
_atom_site_fract_x
_atom_site_fract_y
_atom_site_fract_z
_atom_site_occupancy
Sr1 Sr 0.000 0.000 0.000 1
Sr2 Sr 0.000 0.500 0.500 1
Sr3 Sr 0.500 0.000 0.500 1
Sr4 Sr 0.500 0.500 0.000 1
Be1 Be 0.000 0.000 0.500 1
Be2 Be 0.000 0.500 0.000 1
Be3 Be 0.250 0.250 0.750 1
Be4 Be 0.250 0.750 0.250 1
Be5 Be 0.500 0.000 0.000 1
Be6 Be 0.500 0.500 0.500 1
Be7 Be 0.750 0.250 0.250 1
Be8 Be 0.750 0.750 0.750 1
Ir1 Ir 0.250 0.250 0.250 1
Ir2 Ir 0.250 0.750 0.750 1
Ir3 Ir 0.750 0.250 0.750 1
Ir4 Ir 0.750 0.750 0.250 1

Entry 6:
# PBE-GGA SrBeIr, optimized geometry
# **M_tot**: 0.001 Bohr magnetons per cell
# **Volume**: 266.52 Å³/cell
# **ρ**: 7199 kg/m3
# **Relative energy among the computed polymorphs**: 138.3 meV/atom
# **E**: -4.246 eV per atom
data_SrBeIr
_chemical_formula_sum 'Sr4 Be4 Ir4'
_cell_length_a 6.435
_cell_length_b 6.435
_cell_length_c 6.435
_cell_angle_alpha 90.00
_cell_angle_beta 90.00
_cell_angle_gamma 90.00
_space_group_name_H-M_alt 'P 1'
_space_group_IT_number 1
_space_group_name_Hall 'P 1'
loop_
_atom_site_label
_atom_site_type_symbol
_atom_site_fract_x
_atom_site_fract_y
_atom_site_fract_z
_atom_site_occupancy
Sr1 Sr 0.000 0.000 0.000 1
Sr2 Sr 0.000 0.500 0.500 1
Sr3 Sr 0.500 0.000 0.500 1
Sr4 Sr 0.500 0.500 0.000 1
Be1 Be 0.000 0.000 0.500 1
Be2 Be 0.000 0.500 0.000 1
Be3 Be 0.500 0.000 0.000 1
Be4 Be 0.500 0.500 0.500 1
Ir1 Ir 0.250 0.250 0.750 1
Ir2 Ir 0.250 0.750 0.250 1
Ir3 Ir 0.750 0.250 0.250 1
Ir4 Ir 0.750 0.750 0.750 1

Entry 7:
# PBE-GGA Sr2BeIr, optimized geometry
# **M_tot**: 0.001 Bohr magnetons per cell
# **Volume**: 353.52 Å³/cell
# **ρ**: 7073 kg/m3
# **E**: -3.538 eV per atom
data_Sr2BeIr
_chemical_formula_sum 'Sr8 Be4 Ir4'
_cell_length_a 7.071
_cell_length_b 7.071
_cell_length_c 7.071
_cell_angle_alpha 90.00
_cell_angle_beta 90.00
_cell_angle_gamma 90.00
_space_group_name_H-M_alt 'P 1'
_space_group_IT_number 1
_space_group_name_Hall 'P 1'
loop_
_atom_site_label
_atom_site_type_symbol
_atom_site_fract_x
_atom_site_fract_y
_atom_site_fract_z
_atom_site_occupancy
Sr1 Sr 0.000 0.000 0.000 1
Sr2 Sr 0.000 0.500 0.500 1
Sr3 Sr 0.250 0.250 0.250 1
Sr4 Sr 0.250 0.750 0.750 1
Sr5 Sr 0.500 0.000 0.500 1
Sr6 Sr 0.500 0.500 0.000 1
Sr7 Sr 0.750 0.250 0.750 1
Sr8 Sr 0.750 0.750 0.250 1
Be1 Be 0.000 0.000 0.500 1
Be2 Be 0.000 0.500 0.000 1
Be3 Be 0.500 0.000 0.000 1
Be4 Be 0.500 0.500 0.500 1
Ir1 Ir 0.250 0.250 0.750 1
Ir2 Ir 0.250 0.750 0.250 1
Ir3 Ir 0.750 0.250 0.250 1
Ir4 Ir 0.750 0.750 0.750 1

Entry 8:
# PBE-GGA SrBeIr, optimized geometry
# **M_tot**: 0.012 Bohr magnetons per cell
# **Volume**: 240.31 Å³/cell
# **ρ**: 7984 kg/m3
# **Relative energy among the computed polymorphs**: 0.0 meV/atom
# **E**: -4.384 eV per atom
data_SrBeIr
_chemical_formula_sum 'Sr4 Be4 Ir4'
_cell_length_a 6.217
_cell_length_b 6.217
_cell_length_c 6.217
_cell_angle_alpha 90.00
_cell_angle_beta 90.00
_cell_angle_gamma 90.00
_space_group_name_H-M_alt 'P 1'
_space_group_IT_number 1
_space_group_name_Hall 'P 1'
loop_
_atom_site_label
_atom_site_type_symbol
_atom_site_fract_x
_atom_site_fract_y
_atom_site_fract_z
_atom_site_occupancy
Sr1 Sr 0.000 0.000 0.000 1
Sr2 Sr 0.000 0.500 0.500 1
Sr3 Sr 0.500 0.000 0.500 1
Sr4 Sr 0.500 0.500 0.000 1
Be1 Be 0.250 0.250 0.750 1
Be2 Be 0.250 0.750 0.250 1
Be3 Be 0.750 0.250 0.250 1
Be4 Be 0.750 0.750 0.750 1
Ir1 Ir 0.000 0.000 0.500 1
Ir2 Ir 0.000 0.500 0.000 1
Ir3 Ir 0.500 0.000 0.000 1
Ir4 Ir 0.500 0.500 0.500 1